Below is an optimized crystal structure of Th12Cu5C3, with properties calculated at the PBE-GGA level.

```
data_Th12Cu5C3
_chemical_formula_sum 'Th96 Cu40 C24'
_cell_length_a 16.231
_cell_length_b 16.231
_cell_length_c 16.231
_cell_angle_alpha 90.00
_cell_angle_beta 90.00
_cell_angle_gamma 90.00
_symmetry_space_group_name_H-M 'I a -3 d'
_symmetry_Int_Tables_number 230
_symmetry_space_group_name_Hall '-I 4bd 2c 3'
loop_
_atom_site_label
_atom_site_type_symbol
_atom_site_fract_x
_atom_site_fract_y
_atom_site_fract_z
Th1 Th 0.024 0.090 0.647
Cu1 Cu 0.000 0.000 0.000
Cu2 Cu 0.000 0.250 0.375
C1 C 0.000 0.250 0.125
```

Values from the calculation:
**Total magnetic moment**: 0.00 μB/cell
**Total DFT energy (no corrections)**: -998.39 eV per cell
**ΔH_f (0 K)**: 0.62 eV/atom

***

Below is an optimized crystal structure of Ti3CuC, with properties calculated at the PBE-GGA level.

```
data_Ti3CuC
_chemical_formula_sum 'Ti3 Cu1 C1'
_cell_length_a 4.140
_cell_length_b 4.140
_cell_length_c 4.140
_cell_angle_alpha 90.00
_cell_angle_beta 90.00
_cell_angle_gamma 90.00
_symmetry_space_group_name_H-M 'P m -3 m'
_symmetry_Int_Tables_number 221
_symmetry_space_group_name_Hall '-P 4 2 3'
loop_
_atom_site_label
_atom_site_type_symbol
_atom_site_fract_x
_atom_site_fract_y
_atom_site_fract_z
Ti1 Ti 0.000 0.000 0.500
Cu1 Cu 0.500 0.500 0.500
C1 C 0.000 0.000 0.000
```

Values from the calculation:
**Total magnetic moment**: 0.00 μB/cell
**Total DFT energy (no corrections)**: -38.81 eV per cell
**ΔH_f (0 K)**: -0.36 eV/atom

***

Below is an optimized crystal structure of Ti7Cu2C2, with properties calculated at the PBE-GGA level.

```
data_Ti7Cu2C2
_chemical_formula_sum 'Ti14 Cu4 C4'
_cell_length_a 6.483
_cell_length_b 8.483
_cell_length_c 5.663
_cell_angle_alpha 90.00
_cell_angle_beta 90.00
_cell_angle_gamma 90.00
_symmetry_space_group_name_H-M 'C m m m'
_symmetry_Int_Tables_number 65
_symmetry_space_group_name_Hall '-C 2 2'
loop_
_atom_site_label
_atom_site_type_symbol
_atom_site_fract_x
_atom_site_fract_y
_atom_site_fract_z
Ti1 Ti 0.000 0.000 0.000
Ti2 Ti 0.000 0.500 0.236
Ti3 Ti 0.250 0.250 0.243
Cu1 Cu 0.172 0.000 0.500
C1 C 0.000 0.271 0.000
```

Values from the calculation:
**Total magnetic moment**: 0.02 μB/cell
**Total DFT energy (no corrections)**: -167.77 eV per cell
**ΔH_f (0 K)**: -0.18 eV/atom

***

Below is an optimized crystal structure of Ti3CuC, with properties calculated at the PBE-GGA level.

```
data_Ti3CuC
_chemical_formula_sum 'Ti3 Cu1 C1'
_cell_length_a 4.479
_cell_length_b 4.479
_cell_length_c 4.479
_cell_angle_alpha 90.00
_cell_angle_beta 90.00
_cell_angle_gamma 90.00
_symmetry_space_group_name_H-M 'P m -3 m'
_symmetry_Int_Tables_number 221
_symmetry_space_group_name_Hall '-P 4 2 3'
loop_
_atom_site_label
_atom_site_type_symbol
_atom_site_fract_x
_atom_site_fract_y
_atom_site_fract_z
Ti1 Ti 0.000 0.000 0.500
Cu1 Cu 0.000 0.000 0.000
C1 C 0.500 0.500 0.500
```

Values from the calculation:
**Total magnetic moment**: 0.43 μB/cell
**Total DFT energy (no corrections)**: -28.93 eV per cell
**ΔH_f (0 K)**: 1.61 eV/atom